Entry 1:
The following is a DFT calculation (PBE) of CdSn3Rh3 after structural relaxation.

a = 7.8344 Å, b = 7.8344 Å, c = 16.2572 Å
α = 90.00°, β = 90.00°, γ = 120.00°
Space group R-3 (No. 148, hexagonal axes)
Asymmetric unit:
Cd 0.0000 0.0000 0.1664 x6
Sn 0.0036 0.6814 0.6091 x18
Rh 0.0018 0.6644 0.4410 x18

Calculated values
As for the crystal system: trigonal. The calculated volume comes out at 20.57 Å³/atom. For the formation energy, the calculation gives -0.296 eV/atom. The calculation puts the total DFT energy (no corrections) at -37.05 eV per formula unit.

Entry 2:
The following is a DFT calculation (PBE) of Hf2ZrMn2 after structural relaxation.

a = 7.243 Å, b = 7.243 Å, c = 3.496 Å
α = 90.00°, β = 90.00°, γ = 90.00°
Space group P4/mbm (No. 127)
Asymmetric unit:
Hf 0.166 0.334 0.000 x4
Zr 0.000 0.000 0.500 x2
Mn 0.126 0.626 0.500 x4

Calculated values
As for the crystal system: tetragonal. The calculated volume comes out at 18.34 Å³/atom. For the formation energy, the calculation gives 0.017 eV/atom. The calculation puts the total DFT energy (no corrections) at -46.71 eV per formula unit.

Entry 3:
The following is a DFT calculation (PBE) of Dy3InAg3Se8 after structural relaxation.

a = 13.828 Å, b = 8.236 Å, c = 8.067 Å
α = 90.00°, β = 123.80°, γ = 90.00°
Space group C2/m (No. 12)
Asymmetric unit:
Dy 0.000 0.000 0.000 x2
Dy 0.250 0.250 0.500 x4
In 0.000 0.500 0.000 x2
Ag 0.000 0.500 0.500 x2
Ag 0.250 0.250 0.000 x4
Se 0.001 0.258 0.758 x8
Se 0.244 0.500 0.242 x4
Se 0.248 0.000 0.253 x4

Calculated values
As for the crystal system: monoclinic. The calculated volume comes out at 25.45 Å³/atom. The calculation puts the uncorrected formation energy at -0.98 eV per atom. The calculation puts the total DFT energy (no corrections) at -67.62 eV per formula unit.

Entry 4:
The following is a DFT calculation (PBE) of GaHgPbCl6 after structural relaxation.

a = 6.970 Å, b = 12.084 Å, c = 6.306 Å
α = 90.00°, β = 90.08°, γ = 90.00°
Space group C2 (No. 5)
Asymmetric unit:
Ga 0.000 0.000 0.000 x2
Hg 0.000 0.667 0.500 x2
Pb 0.000 0.333 0.000 x2
Cl 0.139 0.859 0.225 x4
Cl 0.143 0.140 0.225 x4
Cl 0.219 0.501 0.224 x4

Calculated values
As for the crystal system: monoclinic. The calculated volume comes out at 29.51 Å³/atom. The calculation puts the uncorrected formation energy at -0.85 eV per atom. The calculation puts the total DFT energy (no corrections) at -25.73 eV per formula unit.

Entry 5:
The following is a DFT calculation (PBE) of NiTe2As after structural relaxation.

a = 5.759 Å, b = 8.036 Å, c = 3.858 Å
α = 90.00°, β = 90.00°, γ = 90.00°
Space group Cmmm (No. 65)
Asymmetric unit:
Ni 0.000 0.000 0.000 x2
Te 0.000 0.216 0.500 x4
As 0.000 0.500 0.000 x2

Calculated values
As for the crystal system: orthorhombic. The calculated volume comes out at 22.32 Å³/atom. The calculation puts the uncorrected formation energy at 0.11 eV per atom. The calculation puts the total DFT energy (no corrections) at -16.27 eV per formula unit.

Entry 6:
The following is a DFT calculation (PBE) of Tb6YEr12 after structural relaxation.

a = 15.1199 Å, b = 15.1199 Å, c = 9.7465 Å
α = 90.00°, β = 90.00°, γ = 120.00°
Space group R-3m (No. 166, hexagonal axes)
Asymmetric unit:
Tb 0.0492 0.5246 0.2028 x18
Y 0.0000 0.0000 0.0000 x3
Er 0.0000 0.3908 0.5000 x18
Er 0.0708 0.1415 0.2927 x18

Calculated values
As for the crystal system: trigonal. The calculated volume comes out at 33.85 Å³/atom. For the formation energy, the calculation gives 0.453 eV/atom. The calculation puts the energy above the most stable polymorph in this dataset at 5.54 eV/f.u. The calculation puts the total DFT energy (no corrections) at -80.40 eV per formula unit.

Entry 7:
The following is a DFT calculation (PBE) of ZnSe after structural relaxation.

a = 4.0544 Å, b = 4.0544 Å, c = 19.8998 Å
α = 90.00°, β = 90.00°, γ = 120.00°
Space group P6_3mc (No. 186)
Asymmetric unit:
Zn 0.0000 0.0000 0.0000 x2
Zn 0.3333 0.6667 0.1667 x2
Zn 0.3333 0.6667 0.8332 x2
Se 0.0000 0.0000 0.3749 x2
Se 0.3333 0.6667 0.0419 x2
Se 0.3333 0.6667 0.7084 x2

Calculated values
As for the crystal system: hexagonal. The calculated volume comes out at 23.61 Å³/atom. The calculation puts the uncorrected formation energy at -0.71 eV per atom. The calculation puts the total DFT energy (no corrections) at -6.18 eV per formula unit.

Entry 8:
The following is a DFT calculation (PBE) of Sn2AsSe after structural relaxation.

a = 4.1859 Å, b = 4.1859 Å, c = 20.4205 Å
α = 90.00°, β = 90.00°, γ = 120.00°
Space group R-3m (No. 166, hexagonal axes)
Asymmetric unit:
Sn 0.0000 0.0000 0.2454 x6
As 0.0000 0.0000 0.5000 x3
Se 0.0000 0.0000 0.0000 x3

Calculated values
As for the crystal system: trigonal. The calculated volume comes out at 25.82 Å³/atom. The calculation puts the uncorrected formation energy at -0.21 eV per atom. The calculation puts the energy above the most stable polymorph in this dataset at 0.06 eV/f.u. The calculation puts the total DFT energy (no corrections) at -16.97 eV per formula unit.

Entry 9:
The following is a DFT calculation (PBE) of Ac3I2N2 after structural relaxation.

a = 14.248 Å, b = 4.168 Å, c = 9.160 Å
α = 90.00°, β = 124.96°, γ = 90.00°
Space group C2/m (No. 12)
Asymmetric unit:
Ac 0.000 0.000 0.000 x2
Ac 0.196 0.000 0.797 x4
I 0.077 0.500 0.367 x4
N 0.194 0.000 0.061 x4

Calculated values
As for the crystal system: monoclinic. The calculated volume comes out at 31.85 Å³/atom. The calculation puts the uncorrected formation energy at -1.35 eV per atom. The calculation puts the energy above the most stable polymorph in this dataset at 0.00 eV/f.u. The calculation puts the total DFT energy (no corrections) at -41.55 eV per formula unit.

Entry 10:
The following is a DFT calculation (PBE) of DyGa2CuNi2 after structural relaxation.

a = 4.436 Å, b = 4.436 Å, c = 5.260 Å
α = 90.00°, β = 90.00°, γ = 90.00°
Space group P4/mmm (No. 123)
Asymmetric unit:
Dy 0.000 0.000 0.000 x1
Ga 0.000 0.500 0.500 x2
Cu 0.000 0.000 0.500 x1
Ni 0.500 0.500 0.238 x2

Calculated values
As for the crystal system: tetragonal. The calculated volume comes out at 17.25 Å³/atom. For the formation energy, the calculation gives -0.007 eV/atom. The calculation puts the total DFT energy (no corrections) at -26.36 eV per formula unit.

Entry 11:
The following is a DFT calculation (PBE) of TbPmGaSn after structural relaxation.

a = 4.209 Å, b = 4.533 Å, c = 11.335 Å
α = 90.00°, β = 90.00°, γ = 90.00°
Space group Amm2 (No. 38)
Asymmetric unit:
Tb 0.000 0.000 0.000 x2
Pm 0.500 0.000 0.721 x2
Ga 0.000 0.000 0.273 x2
Sn 0.500 0.000 0.437 x2

Calculated values
As for the crystal system: orthorhombic. The calculated volume comes out at 27.03 Å³/atom. For the formation energy, the calculation gives -0.711 eV/atom. The calculation puts the energy above the most stable polymorph in this dataset at 0.00 eV/f.u. The calculation puts the total DFT energy (no corrections) at -19.25 eV per formula unit.

Entry 12:
The following is a DFT calculation (PBE) of HfGaNi4 after structural relaxation.

a = 4.385 Å, b = 15.778 Å, c = 4.559 Å
α = 90.00°, β = 90.00°, γ = 90.00°
Space group Imma (No. 74)
Asymmetric unit:
Hf 0.000 0.250 0.016 x4
Ga 0.000 0.000 0.500 x4
Ni 0.000 0.081 0.049 x8
Ni 0.000 0.159 0.548 x8

Calculated values
As for the crystal system: orthorhombic. The calculated volume comes out at 13.14 Å³/atom. For the formation energy, the calculation gives -0.327 eV/atom. The calculation puts the total DFT energy (no corrections) at -38.07 eV per formula unit.

Entry 13:
The following is a DFT calculation (PBE) of Tl2SbMo after structural relaxation.

a = 3.676 Å, b = 5.216 Å, c = 10.584 Å
α = 90.00°, β = 90.00°, γ = 90.00°
Space group Cmm2 (No. 35)
Asymmetric unit:
Tl 0.000 0.000 0.000 x2
Tl 0.000 0.500 0.273 x2
Sb 0.000 0.500 0.679 x2
Mo 0.000 0.000 0.492 x2

Calculated values
As for the crystal system: orthorhombic. The calculated volume comes out at 25.36 Å³/atom. The calculation puts the uncorrected formation energy at 0.39 eV per atom. The calculation puts the energy above the most stable polymorph in this dataset at 0.34 eV/f.u. The calculation puts the total DFT energy (no corrections) at -18.11 eV per formula unit.

Entry 14:
The following is a DFT calculation (PBE) of KRb2US4 after structural relaxation.

a = 7.735 Å, b = 4.216 Å, c = 7.973 Å
α = 90.00°, β = 108.50°, γ = 90.00°
Space group P2/m (No. 10)
Asymmetric unit:
K 0.000 0.000 0.000 x1
Rb 0.000 0.500 0.500 x1
Rb 0.500 0.000 0.500 x1
U 0.500 0.500 0.000 x1
S 0.296 0.500 0.193 x2
S 0.304 0.000 0.809 x2

Calculated values
As for the crystal system: monoclinic. The calculated volume comes out at 30.83 Å³/atom. The calculation puts the uncorrected formation energy at -1.32 eV per atom. The calculation puts the total DFT energy (no corrections) at -41.36 eV per formula unit.

Entry 15:
The following is a DFT calculation (PBE) of Tb6AlCd2 after structural relaxation.

a = 9.861 Å, b = 10.073 Å, c = 10.377 Å
α = 90.00°, β = 90.00°, γ = 90.00°
Space group Immm (No. 71)
Asymmetric unit:
Tb 0.000 0.177 0.241 x8
Tb 0.173 0.500 0.262 x8
Tb 0.243 0.305 0.000 x8
Al 0.000 0.000 0.500 x2
Al 0.000 0.500 0.000 x2
Cd 0.000 0.359 0.500 x4
Cd 0.140 0.000 0.000 x4

Calculated values
As for the crystal system: orthorhombic. The calculated volume comes out at 28.63 Å³/atom. For the formation energy, the calculation gives -0.169 eV/atom. The calculation puts the total DFT energy (no corrections) at -34.87 eV per formula unit.

Entry 16:
The following is a DFT calculation (PBE) of SrZnSi4 after structural relaxation.

a = 7.599 Å, b = 7.599 Å, c = 7.599 Å
α = 90.00°, β = 90.00°, γ = 90.00°
Space group F-43m (No. 216)
Asymmetric unit:
Sr 0.000 0.000 0.000 x4
Zn 0.250 0.250 0.750 x4
Si 0.124 0.124 0.376 x16

Calculated values
As for the crystal system: cubic. The calculated volume comes out at 18.28 Å³/atom. The calculation puts the uncorrected formation energy at 0.10 eV per atom. The calculation puts the total DFT energy (no corrections) at -24.02 eV per formula unit.

Entry 17:
The following is a DFT calculation (PBE) of MnMoSCl2 after structural relaxation.

a = 4.958 Å, b = 4.958 Å, c = 4.635 Å
α = 90.00°, β = 90.00°, γ = 90.00°
Space group P4/mmm (No. 123)
Asymmetric unit:
Mn 0.000 0.000 0.000 x1
Mo 0.500 0.500 0.500 x1
S 0.500 0.500 0.000 x1
Cl 0.000 0.500 0.500 x2

Calculated values
As for the crystal system: tetragonal. The calculated volume comes out at 22.79 Å³/atom. The calculation puts the uncorrected formation energy at 0.13 eV per atom. The calculation puts the energy above the most stable polymorph in this dataset at 0.00 eV/f.u. The calculation puts the total DFT energy (no corrections) at -27.17 eV per formula unit.

Entry 18:
The following is a DFT calculation (PBE) of AlZnTeC2 after structural relaxation.

a = 4.202 Å, b = 4.202 Å, c = 5.471 Å
α = 90.00°, β = 90.00°, γ = 90.00°
Space group P4/mmm (No. 123)
Asymmetric unit:
Al 0.000 0.000 0.000 x1
Zn 0.500 0.500 0.000 x1
Te 0.500 0.500 0.500 x1
C 0.000 0.500 0.500 x2

Calculated values
As for the crystal system: tetragonal. The calculated volume comes out at 19.32 Å³/atom. The calculation puts the uncorrected formation energy at 2.23 eV per atom. The calculation puts the total DFT energy (no corrections) at -15.47 eV per formula unit.

Entry 19:
The following is a DFT calculation (PBE) of Tl2VRhSe after structural relaxation.

a = 5.651 Å, b = 5.651 Å, c = 4.507 Å
α = 90.00°, β = 90.00°, γ = 90.00°
Space group P4/mmm (No. 123)
Asymmetric unit:
Tl 0.000 0.500 0.000 x2
V 0.000 0.000 0.500 x1
Rh 0.500 0.500 0.500 x1
Se 0.500 0.500 0.000 x1

Calculated values
As for the crystal system: tetragonal. The calculated volume comes out at 28.79 Å³/atom. The calculation puts the uncorrected formation energy at 1.14 eV per atom. The calculation puts the total DFT energy (no corrections) at -18.99 eV per formula unit.

Entry 20:
The following is a DFT calculation (PBE) of KSr2W after structural relaxation.

a = 8.446 Å, b = 8.446 Å, c = 8.446 Å
α = 90.00°, β = 90.00°, γ = 90.00°
Space group F-43m (No. 216)
Asymmetric unit:
K 0.000 0.000 0.000 x4
Sr 0.000 0.000 0.500 x4
Sr 0.250 0.250 0.250 x4
W 0.250 0.250 0.750 x4

Calculated values
As for the crystal system: cubic. The calculated volume comes out at 37.66 Å³/atom. For the formation energy, the calculation gives 1.347 eV/atom. The calculation puts the energy above the most stable polymorph in this dataset at 1.48 eV/f.u. The calculation puts the total DFT energy (no corrections) at -12.03 eV per formula unit.

Entry 21:
The following is a DFT calculation (PBE) of Cd2Pd8Au3 after structural relaxation.

a = 5.1793 Å, b = 5.1793 Å, c = 30.3968 Å
α = 90.00°, β = 90.00°, γ = 120.00°
Space group R-3m (No. 166, hexagonal axes)
Asymmetric unit:
Cd 0.0000 0.0000 0.1387 x6
Pd 0.0000 0.0000 0.2261 x6
Pd 0.0008 0.5004 0.2711 x18
Au 0.0000 0.0000 0.3166 x6
Au 0.0000 0.0000 0.5000 x3

Calculated values
As for the crystal system: trigonal. The calculated volume comes out at 18.11 Å³/atom. For the formation energy, the calculation gives 0.063 eV/atom. The calculation puts the energy above the most stable polymorph in this dataset at 2.41 eV/f.u. The calculation puts the total DFT energy (no corrections) at -52.38 eV per formula unit.

Entry 22:
The following is a DFT calculation (PBE) of CePm2Ga3Rh4 after structural relaxation.

a = 4.321 Å, b = 4.321 Å, c = 10.802 Å
α = 90.00°, β = 90.00°, γ = 90.00°
Space group P-4m2 (No. 115)
Asymmetric unit:
Ce 0.000 0.000 0.000 x1
Pm 0.000 0.500 0.716 x2
Ga 0.000 0.500 0.381 x2
Ga 0.500 0.500 0.000 x1
Rh 0.000 0.000 0.500 x1
Rh 0.000 0.500 0.147 x2
Rh 0.500 0.500 0.500 x1

Calculated values
As for the crystal system: tetragonal. The calculated volume comes out at 20.17 Å³/atom. For the formation energy, the calculation gives -0.771 eV/atom. The calculation puts the total DFT energy (no corrections) at -61.63 eV per formula unit.

Entry 23:
The following is a DFT calculation (PBE) of K2CoW after structural relaxation.

a = 3.234 Å, b = 3.254 Å, c = 10.683 Å
α = 90.00°, β = 90.74°, γ = 90.00°
Space group Pm (No. 6)
Asymmetric unit:
K 0.000 0.000 0.000 x1
K 0.475 0.500 0.417 x1
Co 0.985 0.000 0.660 x1
W 0.489 0.500 0.737 x1

Calculated values
As for the crystal system: monoclinic. The calculated volume comes out at 28.10 Å³/atom. For the formation energy, the calculation gives 0.848 eV/atom. The calculation puts the energy above the most stable polymorph in this dataset at 0.00 eV/f.u. The calculation puts the total DFT energy (no corrections) at -18.86 eV per formula unit.

Entry 24:
The following is a DFT calculation (PBE) of ZrAg3Au after structural relaxation.

a = 5.263 Å, b = 5.263 Å, c = 5.263 Å
α = 90.00°, β = 90.00°, γ = 90.00°
Space group Pm-3m (No. 221)
Asymmetric unit:
Zr 0.000 0.000 0.000 x1
Ag 0.000 0.000 0.500 x3
Au 0.500 0.500 0.500 x1

Calculated values
As for the crystal system: cubic. The calculated volume comes out at 29.16 Å³/atom. For the formation energy, the calculation gives 1.341 eV/atom. The calculation puts the energy above the most stable polymorph in this dataset at 2.47 eV/f.u. The calculation puts the total DFT energy (no corrections) at -13.68 eV per formula unit.